The following is a GGA-PBE calculation of a geometry-optimized NaBiOsPb structure, from OQMD.

The structure belongs to space group F-43m (No. 216); the cell edges are 7.179, 7.179 and 7.179 Å and the angles 90.00°, 90.00° and 90.00°. The distinct sites, in fractional coordinates, are Na at (0.000, 0.000, 0.000), Bi at (0.000, 0.000, 0.500), Os at (0.250, 0.250, 0.750) and Pb at (0.250, 0.250, 0.250).

For the volume, the calculation gives 370.0 Å³/cell. Its size of the total moment is 0.0 μB per formula unit. For the total energy, the calculation gives -4.248 eV per atom.